(1)
A geometry-optimized Ho4Tm3Tl4 structure. Source: the Alexandria database, functional GGA-PBE.

Unit cell a=3.6233 b=9.4054 c=18.6370 alpha=90.00 beta=90.00 gamma=90.00
Space group Immm (No. 71)
One atom of each set of equivalent atoms:
Ho1 0.0000 0.1871 0.1618 (multiplicity 8)
Tm1 0.0000 0.0000 0.4034 (multiplicity 4)
Tm2 0.0000 0.5000 0.5000 (multiplicity 2)
Tl1 0.0000 0.2809 0.0000 (multiplicity 4)
Tl2 0.0000 0.5000 0.2307 (multiplicity 4)

Calculated values
- DFT formation energy: -2.25 eV/f.u.
- Spin magnetization: 0.00 μB per formula unit

(2)
A geometry-optimized Ho5Tm2Tl structure. Source: the Alexandria database, functional GGA-PBE.

Unit cell a=3.3994 b=11.0516 c=12.7350 alpha=90.00 beta=90.00 gamma=90.00
Space group Immm (No. 71)
One atom of each set of equivalent atoms:
Ho1 0.0000 0.0000 0.0000 (multiplicity 2)
Ho2 0.0000 0.2695 0.3674 (multiplicity 8)
Tm1 0.0000 0.0000 0.2680 (multiplicity 4)
Tl1 0.0000 0.5000 0.0000 (multiplicity 2)

Calculated values
- DFT formation energy: -0.02 eV/f.u.
- Spin magnetization: 0.00 μB per formula unit

(3)
A geometry-optimized Ho3Tm2Tl2 structure. Source: the Alexandria database, functional GGA-PBE.

Unit cell a=5.3605 b=5.3605 c=23.8753 alpha=90.00 beta=90.00 gamma=120.00
Space group R-3m (No. 166, hexagonal axes)
One atom of each set of equivalent atoms:
Ho1 0.0000 0.0000 0.0000 (multiplicity 3)
Ho2 0.0000 0.0000 0.1541 (multiplicity 6)
Tm1 0.0000 0.0000 0.4263 (multiplicity 6)
Tl1 0.0000 0.0000 0.2839 (multiplicity 6)

Calculated values
- DFT formation energy: -1.31 eV/f.u.
- Spin magnetization: 0.00 μB per formula unit

(4)
A geometry-optimized Ho2Tm8Tl structure. Source: the Alexandria database, functional GGA-PBE.

Unit cell a=19.1401 b=5.4727 c=6.3186 alpha=90.00 beta=95.37 gamma=90.00
Space group C2/m (No. 12)
One atom of each set of equivalent atoms:
Ho1 0.2438 0.0000 0.3337 (multiplicity 4)
Tm1 0.0455 0.0000 0.2702 (multiplicity 4)
Tm2 0.0788 0.5000 0.5973 (multiplicity 4)
Tm3 0.1539 0.0000 0.8024 (multiplicity 4)
Tm4 0.1618 0.5000 0.1237 (multiplicity 4)
Tl1 0.0000 0.5000 0.0000 (multiplicity 2)

Calculated values
- DFT formation energy: -0.29 eV/f.u.
- Spin magnetization: 0.00 μB per formula unit

(5)
A geometry-optimized Ho4Tm6Tl structure. Source: the Alexandria database, functional GGA-PBE.

Unit cell a=10.6879 b=10.6879 c=3.4229 alpha=90.00 beta=90.00 gamma=120.00
Space group P-6m2 (No. 187)
One atom of each set of equivalent atoms:
Ho1 0.0000 0.0000 0.0000 (multiplicity 1)
Ho2 0.0791 0.5395 0.5000 (multiplicity 3)
Tm1 0.1621 0.3242 0.0000 (multiplicity 3)
Tm2 0.3438 0.1719 0.5000 (multiplicity 3)
Tl1 0.6667 0.3333 0.0000 (multiplicity 1)

Calculated values
- DFT formation energy: 1.55 eV/f.u.
- Spin magnetization: 0.00 μB per formula unit

(6)
A geometry-optimized Ho12Tm6Tl structure. Source: the Alexandria database, functional GGA-PBE.

Unit cell a=11.7227 b=11.7227 c=14.8264 alpha=90.00 beta=90.00 gamma=120.00
Space group R-3 (No. 148, hexagonal axes)
One atom of each set of equivalent atoms:
Ho1 0.0049 0.8264 0.3140 (multiplicity 18)
Ho2 0.0455 0.1966 0.9154 (multiplicity 18)
Tm1 0.0199 0.5908 0.1881 (multiplicity 18)
Tl1 0.0000 0.0000 0.5000 (multiplicity 3)

Calculated values
- DFT formation energy: 1.79 eV/f.u.
- Spin magnetization: 0.00 μB per formula unit

(7)
A geometry-optimized Ho2TmTl3 structure. Source: the Alexandria database, functional GGA-PBE.

Unit cell a=3.6313 b=3.6313 c=12.2367 alpha=90.00 beta=90.00 gamma=90.00
Space group P4/mmm (No. 123)
One atom of each set of equivalent atoms:
Ho1 0.0000 0.0000 0.1674 (multiplicity 2)
Tm1 0.0000 0.0000 0.5000 (multiplicity 1)
Tl1 0.5000 0.5000 0.0000 (multiplicity 1)
Tl2 0.5000 0.5000 0.3351 (multiplicity 2)

Calculated values
- DFT formation energy: -1.93 eV/f.u.
- Spin magnetization: 0.01 μB per formula unit

(8)
A geometry-optimized Ho5Tm6Tl structure. Source: the Alexandria database, functional GGA-PBE.

Unit cell a=6.0191 b=10.4321 c=11.5285 alpha=90.00 beta=100.09 gamma=90.00
Space group C2/m (No. 12)
One atom of each set of equivalent atoms:
Ho1 0.0000 0.0000 0.0000 (multiplicity 2)
Ho2 0.0000 0.1661 0.5000 (multiplicity 4)
Ho3 0.0000 0.3335 0.0000 (multiplicity 4)
Tm1 0.2478 0.3348 0.7478 (multiplicity 8)
Tm2 0.2476 0.5000 0.2511 (multiplicity 4)
Tl1 0.0000 0.5000 0.5000 (multiplicity 2)

Calculated values
- DFT formation energy: -0.12 eV/f.u.
- Spin magnetization: 0.01 μB per formula unit

Taking the records one at a time from the top gives D(E_F) values of 22.61, 21.77, 17.40, 30.50, 12.22, 85.98, 4.39, 34.18 states/eV/cell.
Taking the records one at a time from the top gives E values of -86.9, -68.4, -86.2, -95.2, -46.0, -247.0, -22.7, -104.4 eV per cell.